1.
Entry from the Alexandria database: Ba3Ir2O8 after structural relaxation (PBE).

Cell lengths 6.185, 6.185, 7.762 Å; angles 66.52, 66.52, 60.00 degrees
Positions (direct):
1 Ba 0.000 0.000 0.000
2 Ba 0.214 0.214 0.357
3 Ba 0.786 0.786 0.643
4 Ir 0.430 0.430 0.709
5 Ir 0.570 0.570 0.291
6 O 0.335 0.335 0.996
7 O 0.665 0.665 0.004
8 O 0.266 0.784 0.685
9 O 0.784 0.266 0.685
10 O 0.266 0.266 0.685
11 O 0.216 0.734 0.315
12 O 0.734 0.216 0.315
13 O 0.734 0.734 0.315

Calculated values
The formation energy without anion corrections comes out at -1482.8 meV per atom. As for the space group: R-3m (166). The value obtained for the total energy is -6.341 eV/atom. The size of the total moment is 2.08 μB per cell.


2.
Entry from the Alexandria database: Pm2Zn6Ag9 after structural relaxation (PBE).

Cell lengths 5.613, 5.613, 13.095 Å; angles 90.00, 90.00, 120.00 degrees
Positions (direct):
1 Pm 0.000 0.000 0.666
2 Pm 0.000 0.000 0.334
3 Zn 0.333 0.667 0.000
4 Zn 0.667 0.333 0.000
5 Zn 0.333 0.667 0.666
6 Zn 0.667 0.333 0.666
7 Zn 0.667 0.333 0.334
8 Zn 0.333 0.667 0.334
9 Ag 0.500 0.000 0.833
10 Ag 0.000 0.500 0.833
11 Ag 0.500 0.500 0.833
12 Ag 0.500 0.000 0.167
13 Ag 0.000 0.500 0.167
14 Ag 0.500 0.500 0.167
15 Ag 0.500 0.000 0.500
16 Ag 0.000 0.500 0.500
17 Ag 0.500 0.500 0.500

Calculated values
As for the space group: P6/mmm (191). The value obtained for the total energy is -2.584 eV/atom. The size of the total moment is 0.00 μB per cell.


3.
Entry from the Alexandria database: BaPPd2 after structural relaxation (PBE).

Cell lengths 5.234, 5.234, 8.593 Å; angles 72.27, 72.27, 90.00 degrees
Positions (direct):
1 P 0.500 0.500 0.000
2 P 0.250 0.750 0.500
3 Ba 0.000 0.000 0.000
4 Ba 0.750 0.250 0.500
5 Pd 0.375 0.125 0.250
6 Pd 0.375 0.625 0.250
7 Pd 0.375 0.625 0.750
8 Pd 0.875 0.625 0.750

Calculated values
As for the space group: I4_1/amd (141). The value obtained for the total energy is -5.190 eV/atom. The size of the total moment is 0.00 μB per cell.


4.
Entry from the Alexandria database: InGe3Au3 after structural relaxation (PBE).

Cell lengths 7.212, 7.212, 7.212 Å; angles 90.00, 90.00, 90.00 degrees
Positions (direct):
1 Ge 0.250 0.000 0.500
2 Ge 0.000 0.500 0.250
3 Ge 0.500 0.750 0.000
4 Ge 0.750 0.000 0.500
5 Ge 0.000 0.500 0.750
6 Ge 0.500 0.250 0.000
7 Au 0.000 0.250 0.500
8 Au 0.000 0.750 0.500
9 Au 0.500 0.000 0.750
10 Au 0.750 0.500 0.000
11 Au 0.500 0.000 0.250
12 Au 0.250 0.500 0.000
13 In 0.500 0.500 0.500
14 In 0.000 0.000 0.000

Calculated values
As for the space group: Pm-3n (223). The value obtained for the total energy is -3.574 eV/atom. The size of the total moment is 0.00 μB per cell.


5.
Entry from the Alexandria database: Th7Ni2Au2 after structural relaxation (PBE).

Cell lengths 6.806, 6.894, 6.806 Å; angles 90.00, 107.52, 90.00 degrees
Positions (direct):
1 Th 0.000 0.267 0.500
2 Th 0.500 0.733 0.000
3 Th 0.000 0.733 0.500
4 Th 0.500 0.267 0.000
5 Th 0.000 0.000 0.000
6 Th 0.500 0.752 0.500
7 Th 0.500 0.248 0.500
8 Ni 0.729 0.000 0.271
9 Ni 0.271 0.000 0.729
10 Au 0.829 0.500 0.829
11 Au 0.171 0.500 0.171

Calculated values
As for the space group: Cmmm (65). The value obtained for the total energy is -6.494 eV/atom. The size of the total moment is 0.00 μB per cell.


6.
Entry from the Alexandria database: TaZnAs2 after structural relaxation (PBE).

Cell lengths 2.856, 2.856, 9.765 Å; angles 90.00, 90.00, 90.00 degrees
Positions (direct):
1 As 0.000 0.000 0.934
2 As 0.500 0.500 0.313
3 Ta 0.000 0.000 0.522
4 Zn 0.500 0.500 0.731

Calculated values
As for the space group: P4mm (99). The value obtained for the total energy is -5.477 eV/atom. The size of the total moment is 0.00 μB per cell.


7.
Entry from the Alexandria database: GeHIr after structural relaxation (PBE).

Cell lengths 2.916, 3.910, 7.113 Å; angles 113.73, 101.83, 90.00 degrees
Positions (direct):
1 H 0.535 0.824 0.069
2 H 0.465 0.176 0.931
3 Ge 0.682 0.662 0.364
4 Ge 0.318 0.338 0.636
5 Ir 0.107 0.055 0.215
6 Ir 0.893 0.945 0.785

Calculated values
As for the space group: C2/m (12). The value obtained for the total energy is -5.531 eV/atom. For the offset from the most stable computed form, the calculation gives 35 meV/atom. The size of the total moment is 0.00 μB per cell.


8.
Entry from the Alexandria database: Ce4ZrAs6 after structural relaxation (PBE).

Cell lengths 8.134, 8.134, 8.134 Å; angles 90.97, 90.97, 89.03 degrees
Positions (direct):
1 Ce 0.371 0.129 0.250
2 Ce 0.871 0.250 0.371
3 Ce 0.250 0.629 0.129
4 Ce 0.250 0.250 0.750
5 Ce 0.750 0.750 0.250
6 Ce 0.750 0.371 0.871
7 Ce 0.129 0.750 0.629
8 Ce 0.629 0.871 0.750
9 Zr 0.500 0.500 0.500
10 Zr 0.000 0.000 0.000
11 As 0.685 0.066 0.083
12 As 0.083 0.315 0.066
13 As 0.583 0.434 0.185
14 As 0.934 0.083 0.685
15 As 0.566 0.185 0.583
16 As 0.185 0.417 0.434
17 As 0.815 0.583 0.566
18 As 0.434 0.815 0.417
19 As 0.066 0.917 0.315
20 As 0.417 0.566 0.815
21 As 0.917 0.685 0.934
22 As 0.315 0.934 0.917

Calculated values
As for the space group: R-3c (167). The value obtained for the total energy is -6.696 eV/atom. The size of the total moment is 3.96 μB per cell.


The lowest total energy belongs to which entry?
Ce4ZrAs6


Which of these has the lowest total energy?
Ce4ZrAs6


Which formula does entry 6 have?
TaZnAs2